A plane-wave DFT calculation with PBE-GGA was carried out for a relaxed Sm2Re2O5 crystal.

Lattice parameters (Å, degrees): 4.0223 4.0223 6.7828 90.00 90.00 90.00
Fractional coordinates of all 9 atoms:
Sm1 0.0000 0.0000 0.0000
Sm2 0.0000 0.0000 0.5000
Re1 0.5000 0.5000 0.1753
Re2 0.5000 0.5000 0.8247
O1 0.0000 0.5000 0.2398
O2 0.0000 0.5000 0.7602
O3 0.5000 0.0000 0.2398
O4 0.5000 0.0000 0.7602
O5 0.5000 0.5000 0.5000

Computed properties:
Energy relative to the lowest polymorph listed for this composition, meV per atom: 0.0
Symmetry: No. 123
Uncorrected energy, eV/atom: -8.4399

A plane-wave DFT calculation with PBE-GGA was carried out for a relaxed YErGa2Pt4 crystal.

Lattice parameters (Å, degrees): 4.3808 4.3808 9.0874 90.00 90.00 120.00
Fractional coordinates of all 8 atoms:
Y1 0.0000 0.0000 0.0000
Er1 0.3333 0.6667 0.5000
Ga1 0.6667 0.3333 0.2504
Ga2 0.6667 0.3333 0.7496
Pt1 0.0000 0.0000 0.3379
Pt2 0.0000 0.0000 0.6621
Pt3 0.3333 0.6667 0.1666
Pt4 0.3333 0.6667 0.8334

Computed properties:
Energy relative to the lowest polymorph listed for this composition, meV per atom: 0.0
Symmetry: No. 187
Uncorrected energy, eV/atom: -6.2306

A plane-wave DFT calculation with PBE-GGA was carried out for a relaxed Hf2GaPd crystal.

Lattice parameters (Å, degrees): 4.7197 4.7197 4.7197 60.00 60.00 60.00
Fractional coordinates of all 4 atoms:
Hf1 0.0000 0.0000 0.0000
Hf2 0.2500 0.2500 0.2500
Ga1 0.5000 0.5000 0.5000
Pd1 0.7500 0.7500 0.7500

Computed properties:
Symmetry: No. 216
Uncorrected energy, eV/atom: -7.1384

A plane-wave DFT calculation with PBE-GGA was carried out for a relaxed TmTlTe3Pt crystal.

Lattice parameters (Å, degrees): 8.8495 4.1327 11.0099 90.00 111.95 90.00
Fractional coordinates of all 12 atoms:
Tm1 0.1984 0.2500 0.1545
Tm2 0.8016 0.7500 0.8455
Tl1 0.2262 0.7500 0.7042
Tl2 0.7738 0.2500 0.2958
Te1 0.0622 0.2500 0.8609
Te2 0.2868 0.2500 0.4656
Te3 0.4510 0.7500 0.1502
Te4 0.5490 0.2500 0.8498
Te5 0.7132 0.7500 0.5344
Te6 0.9378 0.7500 0.1391
Pt1 0.3962 0.7500 0.3722
Pt2 0.6038 0.2500 0.6278

Computed properties:
Energy relative to the lowest polymorph listed for this composition, meV per atom: 19.0
Symmetry: No. 11
Uncorrected energy, eV/atom: -4.4044

A plane-wave DFT calculation with PBE-GGA was carried out for a relaxed Sc3Ni2Sn3Pd crystal.

Lattice parameters (Å, degrees): 7.3469 7.3469 3.5853 90.00 90.00 120.00
Fractional coordinates of all 9 atoms:
Sc1 0.0000 0.3945 0.0000
Sc2 0.3945 0.0000 0.0000
Sc3 0.6055 0.6055 0.0000
Ni1 0.3333 0.6667 0.5000
Ni2 0.6667 0.3333 0.5000
Sn1 0.0000 0.7169 0.5000
Sn2 0.2831 0.2831 0.5000
Sn3 0.7169 0.0000 0.5000
Pd1 0.0000 0.0000 0.0000

Computed properties:
Symmetry: No. 189
Uncorrected energy, eV/atom: -5.9429

A plane-wave DFT calculation with PBE-GGA was carried out for a relaxed TbYEr crystal.

Lattice parameters (Å, degrees): 5.4035 5.4035 5.4035 60.00 60.00 60.00
Fractional coordinates of all 3 atoms:
Tb1 0.0000 0.0000 0.0000
Y1 0.5000 0.5000 0.5000
Er1 0.2500 0.2500 0.2500

Computed properties:
Energy relative to the lowest polymorph listed for this composition, meV per atom: 0.0
Symmetry: No. 216
Uncorrected energy, eV/atom: -4.4958
Formation enthalpy at 0 K, eV/atom: 0.7235